Below is an optimized crystal structure of TcAgW2, with properties calculated at the PBE level.

Its density of states at the Fermi level is 2.106 states/eV/f.u. The total magnetization is 0.00 μB per cell. The calculation puts the excess energy over the best structure of this formula in the dataset at 205.1 meV per atom. Its formation energy is 0.53 eV per atom.

Cell lengths 5.295, 5.295, 5.295 Å; angles 145.05, 129.55, 62.84 degrees
Sites, in units of the cell vectors:
Ag: 0.499 0.499 0.000
Tc: 0.767 0.267 0.500
W: 0.001 0.001 0.000
W: 0.234 0.734 0.500


Below is an optimized crystal structure of Tc3AgW, with properties calculated at the PBE level.

Its density of states at the Fermi level is 9.429 states/eV/f.u. The total magnetization is 0.00 μB per cell. The calculation puts the excess energy over the best structure of this formula in the dataset at 1081.0 meV per atom. Its formation energy is 2.82 eV per atom.

Cell lengths 4.634, 4.634, 4.634 Å; angles 90.00, 90.00, 90.00 degrees
Sites, in units of the cell vectors:
Ag: 0.000 0.000 0.000
W: 0.500 0.500 0.500
Tc: 0.000 0.500 0.000
Tc: 0.000 0.000 0.500
Tc: 0.500 0.000 0.000


Below is an optimized crystal structure of TcAg2W2, with properties calculated at the PBE level.

Its density of states at the Fermi level is 4.889 states/eV/f.u. The total magnetization is 0.19 μB per cell. The calculation puts the excess energy over the best structure of this formula in the dataset at 27.5 meV per atom. Its formation energy is 1.03 eV per atom.

Cell lengths 3.588, 3.588, 7.559 Å; angles 76.27, 76.27, 90.00 degrees
Sites, in units of the cell vectors:
Ag: 0.750 0.250 0.500
Ag: 0.250 0.750 0.500
W: 0.418 0.418 0.164
W: 0.582 0.582 0.836
Tc: 0.000 0.000 0.000


Below is an optimized crystal structure of TcAgW2, with properties calculated at the PBE level.

Its density of states at the Fermi level is 3.788 states/eV/f.u. The total magnetization is 0.00 μB per cell. The calculation puts the excess energy over the best structure of this formula in the dataset at 75.3 meV per atom. Its formation energy is 0.40 eV per atom.

Cell lengths 2.723, 2.723, 9.226 Å; angles 90.00, 90.00, 108.95 degrees
Sites, in units of the cell vectors:
Ag: 0.500 0.500 0.250
Tc: 0.500 0.500 0.750
W: 0.000 0.000 0.986
W: 0.000 0.000 0.514


Below is an optimized crystal structure of YTcAg2, with properties calculated at the PBE level.

Its density of states at the Fermi level is 5.949 states/eV/f.u. The total magnetization is 1.82 μB per cell. The calculation puts the excess energy over the best structure of this formula in the dataset at 171.0 meV per atom. Its formation energy is 0.35 eV per atom.

Cell lengths 4.805, 4.805, 4.805 Å; angles 60.00, 60.00, 60.00 degrees
Sites, in units of the cell vectors:
Ag: 0.000 0.000 0.000
Ag: 0.250 0.250 0.250
Tc: 0.500 0.500 0.500
Y: 0.750 0.750 0.750


Below is an optimized crystal structure of YTc2Ag, with properties calculated at the PBE level.

Its density of states at the Fermi level is 3.918 states/eV/f.u. The total magnetization is 2.17 μB per cell. The calculation puts the excess energy over the best structure of this formula in the dataset at 763.3 meV per atom. Its formation energy is 0.84 eV per atom.

Cell lengths 7.801, 7.801, 6.110 Å; angles 50.33, 50.33, 90.00 degrees
Sites, in units of the cell vectors:
Y: 0.500 0.500 0.000
Y: 0.250 0.750 0.500
Tc: 0.651 0.125 0.250
Tc: 0.099 0.625 0.250
Tc: 0.375 0.349 0.750
Tc: 0.875 0.901 0.750
Ag: 0.000 0.000 0.000
Ag: 0.750 0.250 0.500


Below is an optimized crystal structure of YTc2Ag, with properties calculated at the PBE level.

Its density of states at the Fermi level is 3.953 states/eV/f.u. The total magnetization is 0.00 μB per cell. The calculation puts the excess energy over the best structure of this formula in the dataset at 451.1 meV per atom. Its formation energy is 0.53 eV per atom.

Cell lengths 5.411, 5.411, 2.700 Å; angles 90.00, 90.00, 115.48 degrees
Sites, in units of the cell vectors:
Ag: 0.000 0.500 0.500
Tc: 0.000 0.000 0.000
Tc: 0.500 0.500 0.000
Y: 0.500 0.000 0.500


Below is an optimized crystal structure of YTcAg2, with properties calculated at the PBE level.

Its density of states at the Fermi level is 3.749 states/eV/f.u. The total magnetization is 0.00 μB per cell. The calculation puts the excess energy over the best structure of this formula in the dataset at 120.8 meV per atom. Its formation energy is 0.30 eV per atom.

Cell lengths 5.193, 5.193, 3.044 Å; angles 90.00, 90.00, 112.78 degrees
Sites, in units of the cell vectors:
Ag: 0.000 0.000 0.000
Ag: 0.500 0.500 0.000
Tc: 0.500 0.000 0.500
Y: 0.000 0.500 0.500


- What is the density of states at the Fermi level in the second record?
  9.429 states/eV/f.u.


- Which value of density of states at the Fermi level does entry 6 give?
  3.918 states/eV/f.u.


- Among the records above, which one has the highest density of states at the Fermi level?
  Tc3AgW


- Look up the density of states at the Fermi level of the seventh one.
  3.953 states/eV/f.u.